[1]
La6Ir2CBr3, relaxed, DFT GGA-PBE; ΔE_f (raw) = -1074 meV per atom; E_tot = -6.202 eV/atom; density = 7.03 g/cm³; magnetization = 0.0 μB per formula unit
1.0
-7.091 0.225 1.005
2.641 -0.965 -6.591
1.392 -7.471 2.955
Br La Ir C
3 6 2 1
Cartesian
1.721 -4.503 -3.852
-1.529 -4.106 -1.315
-4.779 -3.708 1.221
-3.875 -6.448 -0.769
0.817 -1.764 -1.861
-0.814 -6.822 -3.158
-3.062 -1.970 -3.614
0.004 -6.241 0.984
-2.244 -1.389 0.528
-0.600 -0.569 -4.061
-3.850 -0.171 -1.525
0.000 0.000 0.000

[2]
La6Ir2CBr2, relaxed, DFT GGA-PBE; ΔE_f (raw) = -859 meV per atom; E_tot = -6.301 eV/atom; density = 6.82 g/cm³; magnetization = 0.0 μB per formula unit
1.0
7.141 0.039 0.048
-3.496 6.227 0.048
-1.319 -2.267 7.555
C La Ir Br
1 6 2 2
Cartesian
-0.660 -1.134 3.777
0.521 0.895 2.363
4.077 3.225 2.369
0.788 5.138 2.369
-1.751 0.774 5.282
1.538 -1.139 5.282
1.806 3.104 5.287
-0.653 3.056 3.825
2.979 0.943 3.825
5.351 1.081 0.048
-1.705 5.185 0.048